No. 1
Compound: PaInO4
Source: Alexandria
Functional: meta-GGA SCAN
Structure: PBEsol geometry

```
PaInO4
1.0
-4.717 1.557 1.760
1.438 -1.209 4.924
3.515 4.759 -2.678
Pa O In
2 8 2
Direct
0.250 0.750 0.500
0.000 0.000 0.000
0.371 0.875 0.250
0.879 0.375 0.250
0.879 0.875 0.250
0.125 0.629 0.750
0.371 0.375 0.250
0.125 0.121 0.750
0.625 0.629 0.750
0.625 0.121 0.750
0.500 0.500 0.000
0.750 0.250 0.500
```

* raw formation energy: -2.93 eV/atom
* E_tot: -29.258 eV per atom

No. 2
Compound: Ba2SrAu
Source: Alexandria
Functional: meta-GGA SCAN
Structure: PBEsol geometry

```
Ba2SrAu
1.0
3.973 0.032 0.000
-0.030 3.973 0.000
0.000 0.000 10.482
Au Ba Sr
1 2 1
Direct
0.500 0.500 0.260
0.500 0.500 0.741
0.000 0.000 0.078
0.000 0.000 0.421
```

* E_tot: -43.077 eV per atom
* ΔE_f: -0.44 eV per atom
* E above lowest polymorph: 0.23 kcal/mol of atoms

No. 3
Compound: Mg3ZnH24C8O24
Source: Alexandria
Functional: meta-GGA SCAN
Structure: PBEsol geometry

```
Mg3ZnH24C8O24
1.0
6.986 0.003 -0.011
-0.006 8.554 -0.071
-0.029 -1.270 9.306
H O C Mg Zn
24 24 8 3 1
Direct
0.777 0.414 0.232
0.958 0.832 0.375
0.458 0.169 0.123
0.124 0.738 0.041
0.898 0.707 0.006
0.106 0.204 0.232
0.399 0.296 0.493
0.624 0.265 0.459
0.601 0.704 0.507
0.223 0.586 0.768
0.602 0.795 0.267
0.345 0.034 0.774
0.398 0.205 0.733
0.160 0.033 0.273
0.894 0.796 0.768
0.840 0.967 0.727
0.102 0.293 0.994
0.655 0.966 0.226
0.876 0.262 0.959
0.042 0.168 0.625
0.542 0.831 0.877
0.376 0.735 0.541
0.723 0.415 0.732
0.277 0.585 0.268
0.379 0.092 0.692
0.354 0.713 0.991
0.492 0.222 0.436
0.646 0.287 0.009
0.098 0.404 0.296
0.902 0.596 0.704
0.402 0.405 0.797
0.284 0.940 0.908
0.716 0.060 0.092
0.866 0.908 0.810
0.758 0.582 0.408
0.134 0.092 0.190
0.259 0.417 0.092
0.992 0.778 0.066
0.741 0.583 0.908
0.008 0.222 0.934
0.143 0.713 0.491
0.242 0.418 0.592
0.508 0.778 0.564
0.857 0.287 0.509
0.598 0.595 0.203
0.217 0.941 0.412
0.783 0.059 0.588
0.621 0.908 0.308
0.788 0.528 0.780
0.103 0.829 0.425
0.897 0.171 0.575
0.397 0.828 0.925
0.603 0.172 0.075
0.712 0.527 0.280
0.288 0.473 0.720
0.212 0.472 0.220
0.000 0.500 0.500
0.500 0.000 0.500
0.500 0.500 0.000
0.000 0.000 0.000
```

* E_tot: -6.943 eV per atom

No. 4
Compound: LiCo2Ir
Source: Alexandria
Functional: meta-GGA SCAN
Structure: PBEsol geometry

```
LiCo2Ir
1.0
2.674 0.000 0.000
0.000 4.208 0.000
-1.337 -2.104 4.144
Li Co Ir
1 2 1
Direct
0.258 0.758 0.516
0.741 0.241 0.481
0.010 0.010 0.020
0.491 0.491 0.983
```

* E_tot: -27.062 eV per atom
* ΔE_f: -0.04 eV per atom